## HfSnRu3 (PBE)

Data for HfSnRu3 after structural relaxation.

Lattice parameters (Å, degrees): 4.7444 4.7444 4.7444 90.00 90.00 90.00
Space group Pm-3m (No. 221)
Asymmetric unit:
Hf: 0.0000 0.0000 0.0000 x1
Sn: 0.5000 0.5000 0.5000 x1
Ru: 0.0000 0.0000 0.5000 x3

The value obtained for the density is 9.336 g/cm³. The polymorph energy (0 for the lowest one) is 0.024 eV/atom. The value obtained for the energy of formation is 1.289 eV/atom. The value obtained for the total energy is -0.51945 Ry per atom. The spin magnetization comes out at 0.0 μB/f.u.